Here is crystalline ScAs2Au at its relaxed geometry from Alexandria via LeMat-Bulk. Energies are from PBE.

Formation energy from the elements: -1.77 eV/f.u.
Theoretical density: 7.8 g/cm³

a b c (Å): 3.541 3.728 6.340
angles (deg): 90.00 90.31 90.00
Positions (direct):
Sc 0.000 0.000 0.000
As 0.498 0.500 0.789
As 0.502 0.500 0.211
Au 0.500 0.000 0.500

---

Here is crystalline ScAs2Au at its relaxed geometry from Alexandria via LeMat-Bulk. Energies are from PBE.

Formation energy from the elements: -1.27 eV/f.u.
Theoretical density: 7.8 g/cm³

a b c (Å): 9.700 9.700 9.700
angles (deg): 154.67 154.67 36.13
Positions (direct):
Sc 0.000 0.000 0.000
Sc 0.750 0.250 0.500
As 0.106 0.625 0.981
As 0.375 0.356 0.481
As 0.644 0.125 0.019
As 0.875 0.894 0.519
Au 0.250 0.750 0.500
Au 0.500 0.500 0.000